A | An optimized crystal structure of CdPtW, computed with PBE.

abc: 4.391 4.391 4.391
angles: 60.00 60.00 60.00
Positions (direct):
Cd  0.000  0.000  0.000
Pt  0.500  0.500  0.500
W  0.250  0.250  0.250

Output
**Space-group type**: F-43m, No. 216

B | An optimized crystal structure of CdPtW, computed with PBE.

abc: 4.351 4.351 4.351
angles: 60.00 60.00 60.00
Positions (direct):
Cd  0.000  0.000  0.000
Pt  0.250  0.250  0.250
W  0.500  0.500  0.500

Output
**Space-group type**: F-43m, No. 216

Name the most stable of them. B.

A | An optimized crystal structure of PuCdSi, computed with PBE.

abc: 4.695 4.695 4.695
angles: 60.00 60.00 60.00
Positions (direct):
Pu  0.000  0.000  0.000
Cd  0.500  0.500  0.500
Si  0.750  0.750  0.750

Output
**Space-group type**: F-43m, No. 216

B | An optimized crystal structure of PuCdSi, computed with PBE.

abc: 4.812 4.812 4.812
angles: 60.00 60.00 60.00
Positions (direct):
Pu  0.000  0.000  0.000
Cd  0.750  0.750  0.750
Si  0.250  0.250  0.250

Output
**Space-group type**: F-43m, No. 216

Name the most stable of them. A.

A | An optimized crystal structure of Rb2TlCd, computed with PBE.

abc: 6.019 6.019 6.019
angles: 60.00 60.00 60.00
Positions (direct):
Rb  0.000  0.000  0.000
Rb  0.250  0.250  0.250
Tl  0.500  0.500  0.500
Cd  0.750  0.750  0.750

Output
**Space-group type**: F-43m, No. 216

B | An optimized crystal structure of Rb2TlCd, computed with PBE.

abc: 5.951 6.105 8.545
angles: 90.00 90.00 90.00
Positions (direct):
Rb  0.250  0.000  0.125
Rb  0.250  0.500  0.372
Rb  0.750  0.000  0.875
Rb  0.750  0.500  0.628
Tl  0.250  0.000  0.617
Tl  0.750  0.000  0.383
Cd  0.250  0.500  0.872
Cd  0.750  0.500  0.128

Output
**Space-group type**: Pmma, No. 51

Name the most stable of them. B.

A | An optimized crystal structure of RbYCd, computed with PBE.

abc: 5.601 5.601 5.601
angles: 60.00 60.00 60.00
Positions (direct):
Rb  0.000  0.000  0.000
Y  0.500  0.500  0.500
Cd  0.250  0.250  0.250

Output
**Space-group type**: F-43m, No. 216

B | An optimized crystal structure of RbYCd, computed with PBE.

abc: 5.501 5.501 5.501
angles: 60.00 60.00 60.00
Positions (direct):
Rb  0.000  0.000  0.000
Y  0.250  0.250  0.250
Cd  0.750  0.750  0.750

Output
**Space-group type**: F-43m, No. 216

Name the most stable of them. A.

A | An optimized crystal structure of RbZrCd, computed with PBE.

abc: 5.564 5.564 5.564
angles: 60.00 60.00 60.00
Positions (direct):
Rb  0.000  0.000  0.000
Zr  0.250  0.250  0.250
Cd  0.750  0.750  0.750

Output
**Space-group type**: F-43m, No. 216

B | An optimized crystal structure of RbZrCd, computed with PBE.

abc: 5.445 5.445 5.445
angles: 60.00 60.00 60.00
Positions (direct):
Rb  0.000  0.000  0.000
Zr  0.500  0.500  0.500
Cd  0.250  0.250  0.250

Output
**Space-group type**: F-43m, No. 216

Name the most stable of them. B.

A | An optimized crystal structure of CdRe, computed with PBE.

abc: 4.377 4.377 4.377
angles: 60.00 60.00 60.00
Positions (direct):
Cd  0.000  0.000  0.000
Re  0.750  0.750  0.750

Output
**Space-group type**: F-43m, No. 216

B | An optimized crystal structure of CdRe, computed with PBE.

abc: 2.826 2.826 4.897
angles: 90.00 90.00 120.00
Positions (direct):
Cd  0.000  0.000  0.000
Re  0.667  0.333  0.500

Output
**Space-group type**: P-6m2, No. 187

Name the most stable of them. B.

A | An optimized crystal structure of Cd2Re, computed with PBE.

abc: 4.565 4.565 4.565
angles: 60.00 60.00 60.00
Positions (direct):
Cd  0.250  0.250  0.250
Cd  0.750  0.750  0.750
Re  0.000  0.000  0.000

Output
**Space-group type**: Fm-3m, No. 225

B | An optimized crystal structure of Cd2Re, computed with PBE.

abc: 4.728 4.728 2.763
angles: 90.00 90.00 120.00
Positions (direct):
Cd  0.333  0.667  0.406
Cd  0.667  0.333  0.594
Re  0.000  0.000  0.000

Output
**Space-group type**: P-3m1, No. 164

Name the most stable of them. B.

A | An optimized crystal structure of CdRe2, computed with PBE.

abc: 4.301 4.301 4.301
angles: 60.00 60.00 60.00
Positions (direct):
Cd  0.000  0.000  0.000
Re  0.250  0.250  0.250
Re  0.750  0.750  0.750

Output
**Space-group type**: Fm-3m, No. 225

B | An optimized crystal structure of CdRe2, computed with PBE.

abc: 8.748 8.748 8.748
angles: 60.00 60.00 60.00
Positions (direct):
Cd  0.125  0.125  0.125
Cd  0.875  0.875  0.875
Re  0.000  0.000  0.000
Re  0.000  0.000  0.500
Re  0.000  0.500  0.000
Re  0.500  0.000  0.000

Output
**Space-group type**: Fd-3m, No. 227

Name the most stable of them. A.

A | An optimized crystal structure of Cd2S, computed with PBE.

abc: 5.657 5.657 5.657
angles: 60.00 60.00 60.00
Positions (direct):
Cd  0.000  0.000  0.000
Cd  0.000  0.000  0.500
Cd  0.000  0.500  0.000
Cd  0.500  0.000  0.000
S  0.375  0.375  0.375
S  0.625  0.625  0.625

Output
**Space-group type**: Fd-3m, No. 227

B | An optimized crystal structure of Cd2S, computed with PBE.

abc: 4.697 4.697 4.697
angles: 60.00 60.00 60.00
Positions (direct):
Cd  0.250  0.250  0.250
Cd  0.750  0.750  0.750
S  0.000  0.000  0.000

Output
**Space-group type**: Fm-3m, No. 225

C | An optimized crystal structure of Cd2S, computed with PBE.

abc: 8.608 8.608 8.608
angles: 60.00 60.00 60.00
Positions (direct):
Cd  0.000  0.000  0.000
Cd  0.000  0.000  0.500
Cd  0.000  0.500  0.000
Cd  0.500  0.000  0.000
S  0.125  0.125  0.125
S  0.875  0.875  0.875

Output
**Space-group type**: Fd-3m, No. 227

Name the most stable of them. B.

A | An optimized crystal structure of SmTlCdS3, computed with PBE.

abc: 11.968 4.206 12.278
angles: 90.00 90.00 90.00
Positions (direct):
Sm  0.029  0.250  0.164
Sm  0.471  0.750  0.664
Sm  0.529  0.250  0.336
Sm  0.971  0.750  0.836
Tl  0.151  0.250  0.513
Tl  0.349  0.750  0.013
Tl  0.651  0.250  0.987
Tl  0.849  0.750  0.487
Cd  0.249  0.750  0.302
Cd  0.251  0.250  0.802
Cd  0.749  0.750  0.198
Cd  0.751  0.250  0.698
S  0.037  0.750  0.322
S  0.093  0.250  0.938
S  0.235  0.750  0.681
S  0.265  0.250  0.181
S  0.407  0.750  0.438
S  0.463  0.250  0.822
S  0.537  0.750  0.178
S  0.593  0.250  0.562
S  0.735  0.750  0.819
S  0.765  0.250  0.319
S  0.907  0.750  0.062
S  0.963  0.250  0.678

Output
**Space-group type**: Pnma, No. 62

B | An optimized crystal structure of SmTlCdS3, computed with PBE.

abc: 8.606 4.194 9.918
angles: 90.00 105.55 90.00
Positions (direct):
Sm  0.177  0.250  0.136
Sm  0.823  0.750  0.864
Tl  0.279  0.750  0.780
Tl  0.721  0.250  0.220
Cd  0.422  0.750  0.384
Cd  0.578  0.250  0.616
S  0.040  0.250  0.851
S  0.281  0.250  0.448
S  0.394  0.750  0.124
S  0.606  0.250  0.876
S  0.719  0.750  0.552
S  0.960  0.750  0.149

Output
**Space-group type**: P2_1/m, No. 11

Name the most stable of them. B.

A | An optimized crystal structure of SrZnCdS3, computed with PBE.

abc: 7.047 7.047 10.598
angles: 90.00 90.00 148.18
Positions (direct):
Sr  0.219  0.781  0.750
Sr  0.781  0.219  0.250
Zn  0.000  0.000  0.000
Zn  0.000  0.000  0.500
Cd  0.496  0.504  0.750
Cd  0.504  0.496  0.250
S  0.120  0.880  0.250
S  0.385  0.615  0.064
S  0.385  0.615  0.436
S  0.615  0.385  0.564
S  0.615  0.385  0.936
S  0.880  0.120  0.750

Output
**Space-group type**: Cmcm, No. 63

B | An optimized crystal structure of SrZnCdS3, computed with PBE.

abc: 6.832 6.832 10.459
angles: 90.00 90.00 146.61
Positions (direct):
Sr  0.245  0.755  0.750
Sr  0.755  0.245  0.250
Zn  0.473  0.527  0.250
Zn  0.527  0.473  0.750
Cd  0.000  0.000  0.000
Cd  0.000  0.000  0.500
S  0.080  0.920  0.250
S  0.366  0.634  0.071
S  0.366  0.634  0.429
S  0.634  0.366  0.571
S  0.634  0.366  0.929
S  0.920  0.080  0.750

Output
**Space-group type**: Cmcm, No. 63

Name the most stable of them. B.

A | An optimized crystal structure of CdSb, computed with PBE.

abc: 4.589 4.589 4.589
angles: 60.00 60.00 60.00
Positions (direct):
Cd  0.000  0.000  0.000
Sb  0.750  0.750  0.750

Output
**Space-group type**: F-43m, No. 216

B | An optimized crystal structure of CdSb, computed with PBE.

abc: 4.227 4.227 4.227
angles: 60.00 60.00 60.00
Positions (direct):
Cd  0.000  0.000  0.000
Sb  0.500  0.500  0.500

Output
**Space-group type**: Fm-3m, No. 225

C | An optimized crystal structure of CdSb, computed with PBE.

abc: 5.834 4.236 8.448
angles: 90.00 90.00 90.00
Positions (direct):
Cd  0.000  0.000  0.000
Cd  0.250  0.500  0.207
Cd  0.500  0.000  0.000
Cd  0.750  0.500  0.793
Sb  0.250  0.000  0.481
Sb  0.250  0.500  0.735
Sb  0.750  0.000  0.519
Sb  0.750  0.500  0.265

Output
**Space-group type**: Pmma, No. 51

Name the most stable of them. C.